KBr4: relaxed, PBE.

* Fermi-level density of states: 6.1 states/eV/f.u.
* distance to the lowest polymorph of the same formula: 0.380 eV per atom
* total DFT energy (no corrections): -1.885 eV per atom

Unit cell a=6.7959 b=6.7959 c=6.7959 alpha=126.51 beta=126.51 gamma=79.05
Closest atoms and distances in Å follow each position.
Element x y z (fractional)
K (0.0000, 0.0000, 0.0000)  18 Br 4.03-4.48
Br (0.2500, 0.7500, 0.5000)  4 Br 3.39
Br (0.3889, 0.3889, 0.0000)  1 Br 2.33
Br (0.6111, 0.6111, 0.0000)  1 Br 2.33
Br (0.7500, 0.2500, 0.5000)  4 Br 3.39